First-principles (PBE) data for crystalline YAgF3 at its relaxed geometry, as listed in OQMD. Values from VASP.

Quantum ESPRESSO input file:
```
&SYSTEM
  ibrav = 0, nat = 5, ntyp = 3
/
ATOMIC_SPECIES
Y 88.91 Y.upf
Ag 107.87 Ag.upf
F 19.00 F.upf
CELL_PARAMETERS angstrom
4.3328 0.0000 0.0000
0.0000 4.3328 0.0000
0.0000 0.0000 4.3328
ATOMIC_POSITIONS angstrom
Y 0.0000 0.0000 0.0000
Ag 2.1664 2.1664 2.1664
F 0.0000 0.0000 2.1664
F 0.0000 2.1664 0.0000
F 2.1664 0.0000 0.0000
```

## Properties
ΔE to the lowest computed polymorph = 0.38 kcal/mol of atoms
Space-group type = Pm-3m (221)
Total DFT energy (no corrections) = -5.727 eV/atom

First-principles (PBE) data for crystalline RbTbDyTe3 at its relaxed geometry, as listed in OQMD. Values from VASP.

Quantum ESPRESSO input file:
```
&SYSTEM
  ibrav = 0, nat = 12, ntyp = 4
/
ATOMIC_SPECIES
Rb 85.47 Rb.upf
Tb 158.93 Tb.upf
Dy 162.50 Dy.upf
Te 127.60 Te.upf
CELL_PARAMETERS angstrom
2.3749 -8.4204 0.0000
2.3749 8.4204 0.0000
0.0000 0.0000 11.8162
ATOMIC_POSITIONS angstrom
Rb 2.3749 4.2904 8.8621
Rb 2.3749 -4.2904 2.9540
Tb 2.3749 7.8726 2.9540
Tb 2.3749 -7.8726 8.8621
Dy 2.3749 0.0000 0.0000
Dy 2.3749 0.0000 5.9081
Te 2.3749 6.3262 0.4695
Te 2.3749 6.3262 5.4386
Te 2.3749 1.1930 2.9540
Te 2.3749 -1.1930 8.8621
Te 2.3749 -6.3262 6.3776
Te 2.3749 -6.3262 11.3466
```

## Properties
ΔE to the lowest computed polymorph = 0.19 kcal/mol of atoms
Space-group type = Cmcm (63)
Total DFT energy (no corrections) = -4.477 eV/atom